VASP calculation (GGA-PBE) on Sr2SiHPd6 after structural relaxation.

```
Sr2SiHPd6
1.0
6.646 -0.009 -0.519
0.008 5.946 -0.011
2.973 2.978 4.203
Pd Si H Sr
6 1 1 2
direct
0.305 0.267 0.961
0.695 0.733 0.039
0.305 0.772 0.961
0.306 0.266 0.467
0.695 0.228 0.039
0.694 0.734 0.533
0.000 0.000 0.000
0.500 0.500 0.000
0.817 0.272 0.456
0.183 0.728 0.544
```

Output
Its total energy is -4.95 eV per atom. The calculation puts the magnetic moment at 0.00 μB per atom.

---

VASP calculation (GGA-PBE) on Tb2SiHPd6 after structural relaxation.

```
Tb2SiHPd6
1.0
-5.286 -3.121 -0.758
2.327 -4.829 3.087
-2.791 -1.778 4.742
Si Pd Tb H
1 6 2 1
direct
0.000 0.000 0.000
0.714 0.714 0.535
0.731 0.269 0.000
0.286 0.286 0.465
0.286 0.286 0.963
0.269 0.731 0.000
0.714 0.714 0.037
0.772 0.228 0.500
0.228 0.772 0.500
0.500 0.500 0.000
```

Output
Its total energy is -5.65 eV per atom. The calculation puts the magnetic moment at 0.00 μB per atom.

---

VASP calculation (GGA-PBE) on SiTcHPd2 after structural relaxation.

```
SiTcHPd2
1.0
-2.143 -0.459 -3.127
3.108 -0.991 -1.985
-0.622 -3.971 1.010
Pd Si H Tc
2 1 1 1
direct
0.000 0.500 0.000
0.500 0.000 0.000
0.500 0.500 0.500
0.000 0.000 0.000
0.000 0.000 0.500
```

Output
Its total energy is -5.99 eV per atom. The calculation puts the magnetic moment at 0.05 μB per atom.

---

VASP calculation (GGA-PBE) on ThSiHPd after structural relaxation.

```
ThSiHPd
1.0
4.303 0.000 0.000
-2.151 3.726 0.005
0.000 -0.008 4.083
Th Si Pd H
1 1 1 1
direct
0.572 0.144 0.305
0.905 0.811 0.820
0.238 0.477 0.789
0.239 0.477 0.325
```

Output
Its total energy is -6.12 eV per atom. The calculation puts the magnetic moment at 0.00 μB per atom.

---

VASP calculation (GGA-PBE) on TiSiHPd2 after structural relaxation.

```
TiSiHPd2
1.0
3.866 0.000 0.000
0.000 3.866 0.000
0.000 0.000 4.183
Pd Ti Si H
2 1 1 1
direct
0.000 0.500 0.000
0.500 0.000 0.000
0.000 0.000 0.500
0.500 0.500 0.500
0.000 0.000 0.000
```

Output
Its total energy is -5.80 eV per atom. The calculation puts the magnetic moment at 0.00 μB per atom.

---

VASP calculation (GGA-PBE) on VSiHPd2 after structural relaxation.

```
VSiHPd2
1.0
3.795 0.000 0.000
0.000 3.795 0.000
0.000 0.000 4.166
Si Pd H V
1 2 1 1
direct
0.500 0.500 0.500
0.000 0.500 0.000
0.500 0.000 0.000
0.000 0.000 0.000
0.000 0.000 0.500
```

Output
Its total energy is -5.84 eV per atom. The calculation puts the magnetic moment at 0.00 μB per atom.

---

VASP calculation (GGA-PBE) on V2SiHPd after structural relaxation.

```
V2SiHPd
1.0
-1.821 2.497 -1.957
-2.825 -2.303 -0.310
-1.663 1.563 3.541
H V Si Pd
1 2 1 1
direct
0.000 0.000 0.000
0.500 0.000 0.000
0.000 0.500 0.000
0.500 0.500 0.500
0.000 0.000 0.500
```

Output
Its total energy is -6.75 eV per atom. The calculation puts the magnetic moment at 0.00 μB per atom.

---

VASP calculation (GGA-PBE) on SiHPdW2 after structural relaxation.

```
SiHPdW2
1.0
-0.304 4.667 1.831
-2.667 0.296 -1.196
-2.085 -1.786 4.206
W Si H Pd
2 1 1 1
direct
0.500 0.000 0.000
0.000 0.000 0.500
0.500 0.500 0.500
0.000 0.500 0.000
0.000 0.000 0.000
```

Output
Its total energy is -6.77 eV per atom. The calculation puts the magnetic moment at 0.00 μB per atom.

---

VASP calculation (GGA-PBE) on SiH2PdW after structural relaxation.

```
SiH2PdW
1.0
-1.313 -2.725 1.760
3.974 -3.048 -1.755
1.912 0.884 2.794
Si Pd H W
1 1 2 1
direct
0.500 0.500 0.500
0.000 0.500 0.000
0.000 0.000 0.500
0.500 0.000 0.000
0.000 0.000 0.000
```

Output
Its total energy is -5.38 eV per atom. The calculation puts the magnetic moment at 0.27 μB per atom.

---

VASP calculation (GGA-PBE) on Y2SiHPd6 after structural relaxation.

```
Y2SiHPd6
1.0
5.693 0.016 -0.008
-0.021 6.699 -0.673
2.843 2.854 4.025
Pd Y H Si
6 2 1 1
direct
0.232 0.697 0.035
0.268 0.303 0.465
0.267 0.302 0.965
0.768 0.303 0.965
0.733 0.698 0.035
0.732 0.697 0.535
0.722 0.168 0.555
0.278 0.832 0.445
0.500 0.500 0.000
0.000 0.000 0.000
```

Output
Its total energy is -6.05 eV per atom. The calculation puts the magnetic moment at 0.00 μB per atom.

---

VASP calculation (GGA-PBE) on SmH4Pd2 after structural relaxation.

```
SmH4Pd2
1.0
3.470 0.000 0.000
-1.735 4.802 0.000
0.000 0.000 8.662
H Sm Pd
8 2 4
direct
0.500 0.000 0.000
0.500 0.000 0.500
0.753 0.505 0.393
0.071 0.142 0.250
0.247 0.495 0.607
0.247 0.495 0.893
0.753 0.505 0.107
0.929 0.858 0.750
0.589 0.178 0.750
0.411 0.822 0.250
0.140 0.280 0.443
0.860 0.720 0.557
0.860 0.720 0.943
0.140 0.280 0.057
```

Output
Its total energy is -4.43 eV per atom. The calculation puts the magnetic moment at 0.00 μB per atom.

---

VASP calculation (GGA-PBE) on Sm2HPd after structural relaxation.

```
Sm2HPd
1.0
3.358 0.000 0.000
0.000 3.358 0.000
0.000 0.000 7.107
Sm H Pd
2 1 1
direct
0.000 0.000 0.236
0.000 0.000 0.764
0.500 0.500 0.000
0.500 0.500 0.500
```

Output
Its distance to the lowest polymorph of the same formula is 84 meV/atom. The calculation puts the magnetic moment at 0.00 μB per atom.